No. 1
Computed, not measured: a geometry-optimized TaNbAu3 structure at the GGA-PBE level of DFT.

The value obtained for the energy of formation from the pure elements is 1401 meV/atom.

It has space group Pm-3m (No. 221), with a = 4.9781 Å, b = 4.9781 Å, c = 4.9781 Å, α = 90.00°, β = 90.00° and γ = 90.00°. The asymmetric unit holds Ta at (0.0000, 0.0000, 0.0000), Nb at (0.5000, 0.5000, 0.5000) and Au at (0.0000, 0.0000, 0.5000).

No. 2
Computed, not measured: a geometry-optimized TaNb2TlAu structure at the GGA-PBE level of DFT.

The value obtained for the energy of formation from the pure elements is 2072 meV/atom.

It has space group P4/mmm (No. 123), with a = 5.0959 Å, b = 5.0959 Å, c = 4.8722 Å, α = 90.00°, β = 90.00° and γ = 90.00°. The asymmetric unit holds Ta at (0.0000, 0.0000, 0.0000), Nb at (0.0000, 0.5000, 0.5000), Tl at (0.5000, 0.5000, 0.5000) and Au at (0.5000, 0.5000, 0.0000).

No. 3
Computed, not measured: a geometry-optimized NbTc2Au structure at the GGA-PBE level of DFT.

The value obtained for the energy of formation from the pure elements is 235 meV/atom.

It has space group Fm-3m (No. 225), with a = 6.3825 Å, b = 6.3825 Å, c = 6.3825 Å, α = 90.00°, β = 90.00° and γ = 90.00°. The asymmetric unit holds Nb at (0.0000, 0.0000, 0.0000), Tc at (0.2500, 0.2500, 0.2500) and Au at (0.0000, 0.0000, 0.5000).

No. 4
Computed, not measured: a geometry-optimized Nb2TcAu structure at the GGA-PBE level of DFT.

The value obtained for the energy of formation from the pure elements is -83 meV/atom.

It has space group P4/mmm (No. 123), with a = 4.1347 Å, b = 4.1347 Å, c = 3.9576 Å, α = 90.00°, β = 90.00° and γ = 90.00°. The asymmetric unit holds Nb at (0.0000, 0.5000, 0.0000), Tc at (0.0000, 0.0000, 0.5000) and Au at (0.5000, 0.5000, 0.5000).

No. 5
Computed, not measured: a geometry-optimized NbTcAu structure at the GGA-PBE level of DFT.

The value obtained for the energy of formation from the pure elements is -57 meV/atom.

It has space group P3m1 (No. 156), with a = 4.5386 Å, b = 4.5386 Å, c = 5.7165 Å, α = 90.00°, β = 90.00° and γ = 120.00°. The asymmetric unit holds Nb at (0.0000, 0.0000, 0.0000), Nb at (0.3333, 0.6667, 0.3482), Tc at (0.3333, 0.6667, 0.9197), Tc at (0.6667, 0.3333, 0.1895), Au at (0.0000, 0.0000, 0.4966) and Au at (0.6667, 0.3333, 0.6973).

No. 6
Computed, not measured: a geometry-optimized NbTcAu structure at the GGA-PBE level of DFT.

The value obtained for the energy of formation from the pure elements is -43 meV/atom.

It has space group Cm (No. 8), with a = 9.1756 Å, b = 4.0471 Å, c = 5.7105 Å, α = 90.00°, β = 110.13° and γ = 90.00°. The asymmetric unit holds Nb at (0.0000, 0.0000, 0.0000), Nb at (0.1933, 0.5000, 0.3842), Tc at (0.1749, 0.5000, 0.8592), Tc at (0.3517, 0.0000, 0.7051), Au at (0.0211, 0.0000, 0.5252) and Au at (0.3424, 0.0000, 0.1891).

no.,E (eV/atom)
1,-4.950
2,-5.455
3,-8.285
4,-8.528
5,-7.962
6,-7.948